A geometry-optimized K2La2Zr structure. Source: the Alexandria database, functional PBE.

Geometry as CIF:
```
data_K2La2Zr
_cell_length_a 6.589
_cell_length_b 6.589
_cell_length_c 6.589
_cell_angle_alpha 121.97
_cell_angle_beta 121.97
_cell_angle_gamma 86.63
_symmetry_space_group_name_H-M 'P 1'
_symmetry_Int_Tables_number 1
loop_
_symmetry_equiv_pos_as_xyz
'x,y,z'
loop_
_atom_site_label
_atom_site_fract_x
_atom_site_fract_y
_atom_site_fract_z
K1 0.642 0.642 0.000
K2 0.358 0.358 0.000
La1 0.250 0.750 0.500
La2 0.750 0.250 0.500
Zr1 0.000 0.000 0.000
```

DFT total energy = -0.1102 hartree per atom
crystal system = tetragonal
total magnetization = 4.671 μB/cell
calculated density = 3.8 Mg/m³
energy of formation from the pure elements = 1.122 eV/atom



A geometry-optimized La4Er3TmS8 structure. Source: the Alexandria database, functional PBE.

Geometry as CIF:
```
data_La4Er3TmS8
_cell_length_a 7.916
_cell_length_b 8.116
_cell_length_c 7.914
_cell_angle_alpha 119.15
_cell_angle_beta 120.01
_cell_angle_gamma 90.00
_symmetry_space_group_name_H-M 'P 1'
_symmetry_Int_Tables_number 1
loop_
_symmetry_equiv_pos_as_xyz
'x,y,z'
loop_
_atom_site_label
_atom_site_fract_x
_atom_site_fract_y
_atom_site_fract_z
La1 0.500 0.000 0.000
La2 0.500 0.000 0.500
La3 0.000 0.000 0.000
La4 0.000 0.000 0.500
Er1 0.500 0.500 0.000
Er2 0.500 0.500 0.500
Er3 0.000 0.500 0.500
Tm1 0.000 0.500 0.000
S1 0.241 0.724 0.983
S2 0.241 0.724 0.482
S3 0.258 0.275 0.517
S4 0.742 0.724 0.983
S5 0.258 0.276 0.017
S6 0.742 0.725 0.483
S7 0.759 0.276 0.518
S8 0.759 0.276 0.017
```

DFT total energy = -0.2388 hartree per atom
crystal system = trigonal
total magnetization = 0.001 μB/cell
formation energy from raw total energies = -2.07 eV/atom
calculated density = 6.8 Mg/m³



A geometry-optimized Mg5Si6 structure. Source: the Alexandria database, functional PBE.

Geometry as CIF:
```
data_Mg5Si6
_cell_length_a 14.298
_cell_length_b 14.298
_cell_length_c 4.341
_cell_angle_alpha 88.57
_cell_angle_beta 88.57
_cell_angle_gamma 27.75
_symmetry_space_group_name_H-M 'P 1'
_symmetry_Int_Tables_number 1
loop_
_symmetry_equiv_pos_as_xyz
'x,y,z'
loop_
_atom_site_label
_atom_site_fract_x
_atom_site_fract_y
_atom_site_fract_z
Mg1 0.988 0.772 0.255
Mg2 0.228 0.012 0.745
Mg3 0.965 0.127 0.235
Mg4 0.941 0.382 0.217
Mg5 0.091 0.533 0.743
Mg6 0.873 0.035 0.765
Mg7 0.495 0.664 0.245
Mg8 0.467 0.909 0.257
Mg9 0.618 0.059 0.783
Mg10 0.336 0.505 0.755
Si1 0.639 0.170 0.283
Si2 0.325 0.367 0.236
Si3 0.830 0.361 0.717
Si4 0.633 0.675 0.764
Si5 0.194 0.758 0.255
Si6 0.832 0.722 0.243
Si7 0.278 0.168 0.757
Si8 0.599 0.439 0.748
Si9 0.561 0.401 0.252
Si10 0.180 0.335 0.251
Si11 0.665 0.820 0.749
Si12 0.242 0.806 0.745
```

DFT total energy = -0.1320 hartree per atom
crystal system = monoclinic
total magnetization = 0.000 μB/cell
formation energy from raw total energies = 0.09 eV/atom
calculated density = 2.3 Mg/m³



A geometry-optimized Fe2NiRu structure. Source: the Alexandria database, functional PBE.

Geometry as CIF:
```
data_Fe2NiRu
_cell_length_a 2.836
_cell_length_b 2.836
_cell_length_c 6.047
_cell_angle_alpha 90.00
_cell_angle_beta 90.00
_cell_angle_gamma 90.00
_symmetry_space_group_name_H-M 'P 1'
_symmetry_Int_Tables_number 1
loop_
_symmetry_equiv_pos_as_xyz
'x,y,z'
loop_
_atom_site_label
_atom_site_fract_x
_atom_site_fract_y
_atom_site_fract_z
Fe1 0.000 0.000 0.013
Fe2 0.500 0.500 0.250
Ni1 0.000 0.000 0.477
Ru1 0.500 0.500 0.760
```

DFT total energy = -0.2892 hartree per atom
crystal system = tetragonal
total magnetization = 5.561 μB/cell
calculated density = 9.3 Mg/m³
energy of formation from the pure elements = 0.127 eV/atom



> calculated density of number 3 (Mg5Si6)?

2.3 Mg/m³



> What is the formula in the third record?

Mg5Si6



> Which of these has the lowest DFT total energy?

Fe2NiRu